(1)
KAcS14: relaxed, GGA-PBE.

Computed properties:
E_form (uncorrected) ... -0.289 eV/atom

Cell: 11.1365 14.4576 14.4576 Å, 36.69 67.35 67.35°
Closest atoms and distances in Å follow each position.
Fractional positions:
K1 0.2500 0.4286 0.0714  8 S 3.18-3.28
K2 0.7500 0.5714 0.9286  8 S 3.18-3.28
Ac1 0.5000 0.0000 0.5000  8 S 3.07-3.18
Ac2 0.0000 0.0000 0.5000  8 S 3.07-3.18
S1 0.5722 0.4010 0.4545  1 S 1.93
S2 0.4278 0.5990 0.5455  1 S 1.93
S3 0.0722 0.9545 0.9010  1 S 1.93
S4 0.9278 0.0455 0.0990  1 S 1.93
S5 0.1928 0.9964 0.6181  1 S 2.12
S6 0.8072 0.0036 0.3819  1 S 2.12
S7 0.6928 0.1181 0.4964  1 S 2.12
S8 0.3072 0.8819 0.5036  1 S 2.12
S9 0.1089 0.1049 0.6773  2 S 1.93-2.12
S10 0.8911 0.8951 0.3227  2 S 1.93-2.12
S11 0.6089 0.1773 0.6049  2 S 1.93-2.12
S12 0.3911 0.8227 0.3951  2 S 1.93-2.12
S13 0.8792 0.4730 0.1719  2 S 2.01-2.11
S14 0.5241 0.5270 0.8281  2 S 2.01-2.11
S15 0.3792 0.6719 0.9730  2 S 2.01-2.11
S16 0.0241 0.3281 0.0270  2 S 2.01-2.11
S17 0.1208 0.5270 0.8281  2 S 2.01-2.11
S18 0.4759 0.4730 0.1719  2 S 2.01-2.11
S19 0.6208 0.3281 0.0270  2 S 2.01-2.11
S20 0.9759 0.6719 0.9730  2 S 2.01-2.11
S21 0.5022 0.8318 0.8212  1 S 2.01
S22 0.1551 0.1682 0.1788  1 S 2.01
S23 0.0022 0.3212 0.3318  1 S 2.01
S24 0.6551 0.6788 0.6682  1 S 2.01
S25 0.4978 0.1682 0.1788  1 S 2.01
S26 0.8449 0.8318 0.8212  1 S 2.01
S27 0.9978 0.6788 0.6682  1 S 2.01
S28 0.3449 0.3212 0.3318  1 S 2.01


(2)
HfZr3Os: relaxed, GGA-PBE.

Computed properties:
DFT formation energy ... 0.47 eV/atom
E above lowest polymorph ... 692 meV/atom

Cell: 5.0411 5.0411 5.0411 Å, 90.00 90.00 90.00°
Closest atoms and distances in Å follow each position.
Fractional positions:
Hf1 0.5000 0.5000 0.5000  12 Zr 3.56
Os1 0.0000 0.0000 0.0000  6 Zr 2.52
Zr1 0.0000 0.5000 0.0000  2 Os 2.52
Zr2 0.0000 0.0000 0.5000  2 Os 2.52
Zr3 0.5000 0.0000 0.0000  2 Os 2.52


no.,calculated total energy (eV per atom),magnetization (μB/cell)
1,-4.225,3.95
2,-8.891,0.00